Material: Pr8Ho4Tm
Method: DFT, PBE
State: optimized geometry

- formation energy from the elements (eV/atom) = 0.191
- V (Å³/cell) = 451.3
- total moment (μB per atom) = 0.0000
- symmetry = R-3m, No. 166

Cell and atoms, written as POSCAR:
```
Pr8Ho4Tm
1.0
6.404 0.000 -3.455
-4.134 5.988 0.000
1.549 1.070 10.534
Ho Pr Tm
4 8 1
direct
0.500 0.500 0.000
0.000 0.000 0.000
0.500 0.000 0.000
0.000 0.500 0.000
0.961 0.211 0.712
0.039 0.249 0.288
0.501 0.751 0.712
0.423 0.212 0.635
0.039 0.789 0.288
0.499 0.249 0.288
0.577 0.788 0.365
0.961 0.751 0.712
0.000 0.500 0.500
```



Material: Pr2HoTm8
Method: DFT, PBE
State: optimized geometry

- formation energy from the elements (eV/atom) = 0.029
- V (Å³/cell) = 343.2
- total moment (μB per atom) = 0.0000
- symmetry = C2/m, No. 12

Cell and atoms, written as POSCAR:
```
Pr2HoTm8
1.0
-3.532 -2.967 1.914
-1.914 -2.414 -7.273
8.116 -4.268 1.843
Tm Ho Pr
8 1 2
direct
0.411 0.547 0.822
0.865 0.823 0.731
0.044 0.728 0.088
0.956 0.272 0.912
0.589 0.453 0.178
0.135 0.177 0.269
0.319 0.092 0.639
0.681 0.908 0.361
0.500 0.000 0.000
0.773 0.362 0.546
0.227 0.638 0.454
```



Material: Pr4Ho4Tm3
Method: DFT, PBE
State: optimized geometry

- formation energy from the elements (eV/atom) = 0.041
- V (Å³/cell) = 361.2
- total moment (μB per atom) = 0.0000
- symmetry = C2/m, No. 12

Cell and atoms, written as POSCAR:
```
Pr4Ho4Tm3
1.0
-1.805 1.609 2.669
1.913 -3.936 3.669
14.846 10.383 -1.061
Ho Pr Tm
4 4 3
direct
0.377 0.188 0.376
0.414 0.456 0.912
0.623 0.812 0.624
0.586 0.544 0.088
0.062 0.281 0.562
0.937 0.719 0.438
0.690 0.096 0.192
0.310 0.904 0.808
0.743 0.370 0.740
0.257 0.630 0.260
0.000 0.000 0.000
```



Material: Pr2HoTm12
Method: DFT, PBE
State: optimized geometry

- formation energy from the elements (eV/atom) = 0.119
- V (Å³/cell) = 942.0
- total moment (μB per atom) = 0.0000
- symmetry = Cmmm, No. 65

Cell and atoms, written as POSCAR:
```
Pr2HoTm12
1.0
-0.878 5.159 -3.965
-2.885 -5.560 -1.970
-22.759 5.707 7.769
Tm Pr Ho
24 4 2
direct
0.100 0.100 0.200
0.101 0.601 0.865
0.834 0.834 0.554
0.322 0.822 0.570
0.444 0.444 0.074
0.500 0.500 0.332
0.500 0.500 0.668
0.056 0.056 0.926
0.822 0.322 0.570
0.000 0.000 0.332
0.900 0.900 0.800
0.399 0.899 0.135
0.601 0.101 0.865
0.166 0.166 0.446
0.000 0.000 0.668
0.400 0.400 0.800
0.678 0.178 0.430
0.178 0.678 0.430
0.600 0.600 0.200
0.334 0.334 0.554
0.666 0.666 0.446
0.944 0.944 0.074
0.556 0.556 0.926
0.899 0.399 0.135
0.454 0.954 0.728
0.046 0.546 0.272
0.954 0.454 0.728
0.546 0.046 0.272
0.500 0.000 0.000
0.000 0.500 0.000
```



Material: Pr2HoTm5
Method: DFT, PBE
State: optimized geometry

- formation energy from the elements (eV/atom) = 0.029
- V (Å³/cell) = 505.6
- total moment (μB per atom) = 0.0000
- symmetry = Pbam, No. 55

Cell and atoms, written as POSCAR:
```
Pr2HoTm5
1.0
5.021 0.000 0.000
0.000 7.095 0.000
0.000 0.000 14.191
Pr Tm Ho
4 10 2
direct
0.500 0.252 0.625
0.500 0.248 0.125
0.500 0.752 0.875
0.500 0.748 0.375
0.000 0.498 0.250
0.000 0.500 0.500
0.000 0.502 0.750
0.500 0.248 0.375
0.500 0.748 0.125
0.000 0.998 0.250
0.500 0.252 0.875
0.000 0.000 0.000
0.000 0.002 0.750
0.500 0.752 0.625
0.000 0.000 0.500
0.000 0.500 0.000
```



Material: PrHo3Tm2
Method: DFT, PBE
State: optimized geometry

- formation energy from the elements (eV/atom) = 0.024
- V (Å³/cell) = 377.2
- total moment (μB per atom) = 0.0000
- symmetry = C2/c, No. 15

Cell and atoms, written as POSCAR:
```
PrHo3Tm2
1.0
-1.977 -5.127 4.474
3.795 -3.915 -2.809
7.378 4.827 3.182
Tm Ho Pr
4 6 2
direct
0.544 0.082 0.335
0.208 0.418 0.665
0.456 0.918 0.665
0.792 0.582 0.335
0.294 0.585 0.337
0.043 0.085 0.337
0.623 0.250 0.000
0.377 0.750 0.000
0.706 0.415 0.663
0.957 0.915 0.663
0.126 0.250 0.000
0.874 0.750 0.000
```



Material: PrHoTm4
Method: DFT, PBE
State: optimized geometry

- formation energy from the elements (eV/atom) = 0.280
- V (Å³/cell) = 198.9
- total moment (μB per atom) = 0.2606
- symmetry = F-43m, No. 216

Cell and atoms, written as POSCAR:
```
PrHoTm4
1.0
-2.444 -4.739 -3.807
3.993 -3.520 -3.820
1.193 -6.284 1.419
Tm Ho Pr
4 1 1
direct
0.626 0.626 0.123
0.123 0.626 0.626
0.626 0.626 0.626
0.626 0.123 0.626
0.000 0.000 0.000
0.250 0.250 0.250
```



Material: PrY2Ho3Tm6
Method: DFT, PBE
State: optimized geometry

- formation energy from the elements (eV/atom) = 0.026
- V (Å³/cell) = 372.5
- total moment (μB per atom) = 0.0000
- symmetry = C2/m, No. 12

Cell and atoms, written as POSCAR:
```
PrY2Ho3Tm6
1.0
-3.025 3.830 3.677
-2.973 -2.933 -4.460
-0.248 -8.990 7.469
Tm Ho Y Pr
6 3 2 1
direct
0.915 0.581 0.747
0.581 0.915 0.747
0.419 0.085 0.253
0.085 0.419 0.253
0.752 0.752 0.253
0.248 0.248 0.747
0.833 0.167 0.500
0.167 0.833 0.500
0.500 0.500 0.500
0.667 0.333 0.000
0.333 0.667 0.000
0.000 0.000 0.000
```



- What is the formula in the fifth record?
  Pr2HoTm5



- Among the records above, which one has the highest total moment?
  PrHoTm4



Please write out number 2 again, unchanged.
Material: Pr2HoTm8
Method: DFT, PBE
State: optimized geometry

- formation energy from the elements (eV/atom) = 0.029
- V (Å³/cell) = 343.2
- total moment (μB per atom) = 0.0000
- symmetry = C2/m, No. 12

Cell and atoms, written as POSCAR:
```
Pr2HoTm8
1.0
-3.532 -2.967 1.914
-1.914 -2.414 -7.273
8.116 -4.268 1.843
Tm Ho Pr
8 1 2
direct
0.411 0.547 0.822
0.865 0.823 0.731
0.044 0.728 0.088
0.956 0.272 0.912
0.589 0.453 0.178
0.135 0.177 0.269
0.319 0.092 0.639
0.681 0.908 0.361
0.500 0.000 0.000
0.773 0.362 0.546
0.227 0.638 0.454
```